VASP calculation (PBE-GGA) on an optimized crystal structure of Ac2CePr.

Geometry as POSCAR:
```
Ac2CePr
1.0
0.0000 4.2930 4.2930
4.2930 0.0000 4.2930
4.2930 4.2930 0.0000
Ac Ce Pr
2 1 1
Direct
0.2500 0.2500 0.2500
0.7500 0.7500 0.7500
0.0000 0.0000 0.0000
0.5000 0.5000 0.5000
```

Summary:
Final energy   -4.52 eV per atom
Distance to the lowest polymorph of the same formula   114 meV/atom